VASP calculation (PBE) on a relaxed structure of Pr4SmHg2.

Fermi-level density of states (states/eV/f.u.): 8.69
Size of the total moment (μB per formula unit): 0.000
Volume (Å³ per cell): 439.8
VASP energy (eV for the cell shown): -51.7
Formation energy (eV per atom): -0.202

Cell and atoms, written as POSCAR:
```
Pr4SmHg2
1.0
9.494 0.879 0.516
0.430 9.069 -1.235
-4.301 -6.122 5.694
Pr Sm Hg
8 2 4
direct
0.054 0.229 0.390
0.532 0.586 0.155
0.718 0.700 0.685
0.847 0.212 0.885
0.138 0.721 0.999
0.315 0.853 0.523
0.443 0.785 0.900
0.837 0.738 0.141
0.005 0.732 0.570
0.318 0.270 0.217
0.471 0.221 0.572
0.766 0.235 0.523
0.670 0.227 0.133
0.136 0.241 0.806
```